Record 1
DFT (GGA-PBE) results for a geometry-optimized Tb8DyTh4 structure.

Unit cell a=9.902 b=9.902 c=9.902 alpha=43.85 beta=43.85 gamma=43.85
Element x y z (fractional)
Tb 0.191 0.751 0.751
Tb 0.221 0.221 0.221
Tb 0.249 0.249 0.809
Tb 0.249 0.809 0.249
Tb 0.751 0.191 0.751
Tb 0.751 0.751 0.191
Tb 0.779 0.779 0.779
Tb 0.809 0.249 0.249
Dy 0.500 0.500 0.500
Th 0.000 0.000 0.000
Th 0.000 0.500 0.500
Th 0.500 0.000 0.500
Th 0.500 0.500 0.000

Summary:
total magnetic moment: 0.00 μB per formula unit
final energy: -5.266 eV per atom
formation energy: 0.2201 eV/atom



Record 2
DFT (GGA-PBE) results for a geometry-optimized TbDyTh structure.

Unit cell a=6.203 b=3.582 c=17.412 alpha=90.00 beta=96.85 gamma=90.00
Element x y z (fractional)
Tb 0.084 0.000 0.249
Tb 0.416 0.500 0.751
Tb 0.584 0.500 0.249
Tb 0.916 0.000 0.751
Dy 0.194 0.000 0.582
Dy 0.306 0.500 0.418
Dy 0.694 0.500 0.582
Dy 0.806 0.000 0.418
Th 0.140 0.500 0.918
Th 0.360 0.000 0.082
Th 0.640 0.000 0.918
Th 0.860 0.500 0.082

Summary:
energy above the lowest structure with this stoichiometry: 0.0 kJ per mole of atoms
total magnetic moment: 0.00 μB per formula unit
final energy: -5.533 eV per atom
formation energy: 0.0173 eV/atom



Record 3
DFT (GGA-PBE) results for a geometry-optimized Tb2Dy5Th2 structure.

Unit cell a=11.441 b=11.441 c=8.054 alpha=99.44 beta=99.44 gamma=17.46
Element x y z (fractional)
Tb 0.171 0.171 0.161
Tb 0.829 0.829 0.839
Dy 0.000 0.000 0.000
Dy 0.091 0.091 0.731
Dy 0.307 0.307 0.451
Dy 0.693 0.693 0.549
Dy 0.909 0.909 0.269
Th 0.447 0.447 0.645
Th 0.553 0.553 0.355

Summary:
energy above the lowest structure with this stoichiometry: 3.9 kJ per mole of atoms
total magnetic moment: 0.00 μB per formula unit
final energy: -4.951 eV per atom
formation energy: 0.2836 eV/atom